Compound: MnFeHgF6
Source: Alexandria
Functional: PBE+U
Structure: optimized geometry

As for the total energy: -4.888 eV per atom. As for the space-group type: P-31c.

Lattice parameters (Å, degrees): 5.588 5.588 10.736 90.00 90.00 120.00
Last column: magnetic moment on the atom in μB.
Sites, in units of the cell vectors:
F: 0.976 0.366 0.149  0.06
F: 0.390 0.366 0.351  0.06
F: 0.610 0.634 0.649  0.06
F: 0.976 0.610 0.351  0.06
F: 0.024 0.634 0.851  0.06
F: 0.634 0.024 0.351  0.06
F: 0.634 0.610 0.149  0.06
F: 0.024 0.390 0.649  0.06
F: 0.610 0.976 0.851  0.06
F: 0.366 0.976 0.649  0.06
F: 0.366 0.390 0.851  0.06
F: 0.390 0.024 0.149  0.06
Fe: 0.667 0.333 0.250  4.42
Fe: 0.333 0.667 0.750  4.42
Mn: 0.333 0.667 0.250  4.68
Mn: 0.667 0.333 0.750  4.68
Hg: 0.000 0.000 0.500  -0.38
Hg: 0.000 0.000 0.000  -0.38